The following is a DFT calculation (PBE) of a relaxed RbNa2SbCl6 crystal.

Properties
For the energy, the calculation gives -3.3496 eV/atom. The energy relative to the elements, uncorrected comes out at -33.87 kcal/mol of atoms.

a = 7.818 Å, b = 7.818 Å, c = 7.818 Å
α = 55.86°, β = 55.86°, γ = 55.86°
Atoms (fractional coordinates):
Rb 0.000 0.000 0.000
Na 0.276 0.276 0.276
Na 0.799 0.799 0.799
Sb 0.475 0.475 0.475
Cl 0.089 0.628 0.453
Cl 0.212 0.551 0.871
Cl 0.453 0.089 0.628
Cl 0.551 0.871 0.212
Cl 0.628 0.453 0.089
Cl 0.871 0.212 0.551

=====

The following is a DFT calculation (PBE) of a relaxed CrInPdPt crystal.

Properties
For the energy, the calculation gives -6.1734 eV/atom. The value obtained for the formation enthalpy at 0 K is -0.27 eV/atom.

a = 6.425 Å, b = 6.425 Å, c = 6.425 Å
α = 90.00°, β = 90.00°, γ = 90.00°
Atoms (fractional coordinates):
Cr 0.000 0.000 0.000
Cr 0.000 0.500 0.500
Cr 0.500 0.000 0.500
Cr 0.500 0.500 0.000
In 0.000 0.000 0.500
In 0.000 0.500 0.000
In 0.500 0.000 0.000
In 0.500 0.500 0.500
Pd 0.250 0.250 0.750
Pd 0.250 0.750 0.250
Pd 0.750 0.250 0.250
Pd 0.750 0.750 0.750
Pt 0.250 0.250 0.250
Pt 0.250 0.750 0.750
Pt 0.750 0.250 0.750
Pt 0.750 0.750 0.250

=====

The following is a DFT calculation (PBE) of a relaxed VS2Br2 crystal.

Properties
For the energy, the calculation gives -2.8769 eV/atom. The energy relative to the elements, uncorrected comes out at 29.22 kcal/mol of atoms.

a = 4.688 Å, b = 4.688 Å, c = 6.257 Å
α = 90.00°, β = 90.00°, γ = 90.00°
Atoms (fractional coordinates):
V 0.000 0.000 0.000
S 0.000 0.500 0.500
S 0.500 0.000 0.500
Br 0.500 0.500 0.000
Br 0.500 0.500 0.500

=====

The following is a DFT calculation (PBE) of a relaxed HfFe2OsC crystal.

Properties
For the energy, the calculation gives -9.6732 eV/atom. The value obtained for the formation enthalpy at 0 K is -0.21 eV/atom.

a = 3.888 Å, b = 3.888 Å, c = 4.040 Å
α = 90.00°, β = 90.00°, γ = 90.00°
Atoms (fractional coordinates):
Hf 0.000 0.000 0.000
Fe 0.000 0.500 0.500
Fe 0.500 0.000 0.500
Os 0.500 0.500 0.000
C 0.500 0.500 0.500

=====

The following is a DFT calculation (PBE) of a relaxed Ac2MgOsO8 crystal.

Properties
For the energy, the calculation gives -7.2445 eV/atom. The energy relative to the elements, uncorrected comes out at -50.40 kcal/mol of atoms.

a = 4.361 Å, b = 5.619 Å, c = 7.135 Å
α = 84.55°, β = 88.12°, γ = 83.09°
Atoms (fractional coordinates):
Ac 0.198 0.020 0.238
Ac 0.802 0.980 0.762
Mg 0.500 0.500 0.000
Os 0.500 0.500 0.500
O 0.212 0.762 0.552
O 0.279 0.280 0.639
O 0.289 0.828 0.944
O 0.296 0.466 0.271
O 0.704 0.534 0.729
O 0.711 0.172 0.056
O 0.721 0.720 0.361
O 0.788 0.238 0.448

=====

The following is a DFT calculation (PBE) of a relaxed Ba3Sn2Rh2 crystal.

Properties
For the energy, the calculation gives -4.6010 eV/atom. The value obtained for the formation enthalpy at 0 K is -0.53 eV/atom.

a = 6.586 Å, b = 8.866 Å, c = 14.682 Å
α = 90.00°, β = 90.00°, γ = 90.00°
Atoms (fractional coordinates):
Ba 0.149 0.230 0.250
Ba 0.149 0.270 0.750
Ba 0.348 0.604 0.594
Ba 0.348 0.604 0.906
Ba 0.348 0.896 0.094
Ba 0.348 0.896 0.406
Ba 0.652 0.104 0.594
Ba 0.652 0.104 0.906
Ba 0.652 0.396 0.094
Ba 0.652 0.396 0.406
Ba 0.851 0.730 0.250
Ba 0.851 0.770 0.750
Sn 0.112 0.250 0.000
Sn 0.112 0.250 0.500
Sn 0.325 0.586 0.250
Sn 0.325 0.914 0.750
Sn 0.675 0.086 0.250
Sn 0.675 0.414 0.750
Sn 0.888 0.750 0.000
Sn 0.888 0.750 0.500
Rh 0.122 0.530 0.088
Rh 0.122 0.530 0.412
Rh 0.122 0.970 0.588
Rh 0.122 0.970 0.912
Rh 0.878 0.030 0.088
Rh 0.878 0.030 0.412
Rh 0.878 0.470 0.588
Rh 0.878 0.470 0.912

=====

The following is a DFT calculation (PBE) of a relaxed Nd3Rh3Pb crystal.

Properties
For the energy, the calculation gives -6.0827 eV/atom. The value obtained for the formation enthalpy at 0 K is -0.36 eV/atom.

a = 8.862 Å, b = 8.862 Å, c = 5.670 Å
α = 90.00°, β = 90.00°, γ = 120.00°
Atoms (fractional coordinates):
Nd 0.039 0.704 0.250
Nd 0.296 0.335 0.250
Nd 0.335 0.039 0.750
Nd 0.665 0.961 0.250
Nd 0.704 0.665 0.750
Nd 0.961 0.296 0.750
Rh 0.033 0.671 0.750
Rh 0.329 0.362 0.750
Rh 0.362 0.033 0.250
Rh 0.638 0.967 0.750
Rh 0.671 0.638 0.250
Rh 0.967 0.329 0.250
Pb 0.333 0.667 0.750
Pb 0.667 0.333 0.250

=====

The following is a DFT calculation (PBE) of a relaxed U3CuS6 crystal.

Properties
For the energy, the calculation gives -7.5225 eV/atom. The energy relative to the elements, uncorrected comes out at -28.82 kcal/mol of atoms.

a = 8.346 Å, b = 8.346 Å, c = 6.369 Å
α = 90.00°, β = 90.00°, γ = 101.44°
Atoms (fractional coordinates):
U 0.106 0.894 0.500
U 0.224 0.426 0.402
U 0.426 0.224 0.902
U 0.574 0.776 0.402
U 0.776 0.574 0.902
U 0.894 0.106 0.000
Cu 0.301 0.699 0.849
Cu 0.699 0.301 0.349
S 0.058 0.594 0.678
S 0.130 0.195 0.701
S 0.195 0.130 0.201
S 0.274 0.726 0.213
S 0.406 0.942 0.678
S 0.467 0.533 0.706
S 0.533 0.467 0.206
S 0.594 0.058 0.178
S 0.726 0.274 0.713
S 0.805 0.870 0.701
S 0.870 0.805 0.201
S 0.942 0.406 0.178

=====

The following is a DFT calculation (PBE) of a relaxed Na2AlZn2Au5 crystal.

Properties
For the energy, the calculation gives -2.8676 eV/atom. The value obtained for the formation enthalpy at 0 K is -0.34 eV/atom.

a = 11.187 Å, b = 11.187 Å, c = 3.052 Å
α = 90.00°, β = 90.00°, γ = 90.00°
Atoms (fractional coordinates):
Na 0.172 0.328 0.000
Na 0.328 0.828 0.000
Na 0.672 0.172 0.000
Na 0.828 0.672 0.000
Al 0.000 0.000 0.000
Al 0.500 0.500 0.000
Zn 0.134 0.634 0.000
Zn 0.366 0.134 0.000
Zn 0.634 0.866 0.000
Zn 0.866 0.366 0.000
Au 0.000 0.500 0.500
Au 0.060 0.814 0.500
Au 0.186 0.060 0.500
Au 0.314 0.560 0.500
Au 0.440 0.314 0.500
Au 0.500 0.000 0.500
Au 0.560 0.686 0.500
Au 0.686 0.440 0.500
Au 0.814 0.940 0.500
Au 0.940 0.186 0.500

=====

The following is a DFT calculation (PBE) of a relaxed CsZnGePSe crystal.

Properties
The calculation puts the energy relative to the lowest polymorph listed for this composition at 0.00 kcal/mol of atoms. For the energy, the calculation gives -3.5993 eV/atom. The energy relative to the elements, uncorrected comes out at -10.87 kcal/mol of atoms.

a = 9.895 Å, b = 3.877 Å, c = 7.938 Å
α = 90.00°, β = 101.80°, γ = 90.00°
Atoms (fractional coordinates):
Cs 0.000 0.000 0.000
Cs 0.500 0.500 0.000
Zn 0.378 0.000 0.475
Zn 0.878 0.500 0.475
Ge 0.135 0.500 0.551
Ge 0.635 0.000 0.551
P 0.248 0.000 0.705
P 0.748 0.500 0.705
Se 0.262 0.500 0.297
Se 0.762 0.000 0.297

=====

The following is a DFT calculation (PBE) of a relaxed Tm3Ag5Pt12 crystal.

Properties
For the energy, the calculation gives -4.8299 eV/atom. The value obtained for the formation enthalpy at 0 K is 0.18 eV/atom.

a = 13.526 Å, b = 13.526 Å, c = 13.526 Å
α = 109.47°, β = 109.47°, γ = 109.47°
Atoms (fractional coordinates):
Tm 0.125 0.250 0.375
Tm 0.125 0.375 0.750
Tm 0.250 0.375 0.125
Tm 0.250 0.875 0.625
Tm 0.375 0.125 0.250
Tm 0.375 0.750 0.125
Tm 0.625 0.250 0.875
Tm 0.625 0.875 0.750
Tm 0.750 0.125 0.375
Tm 0.750 0.625 0.875
Tm 0.875 0.625 0.250
Tm 0.875 0.750 0.625
Ag 0.000 0.000 0.000
Ag 0.000 0.000 0.500
Ag 0.000 0.500 0.000
Ag 0.000 0.500 0.500
Ag 0.125 0.750 0.875
Ag 0.125 0.875 0.250
Ag 0.250 0.125 0.875
Ag 0.250 0.625 0.375
Ag 0.375 0.250 0.625
Ag 0.375 0.625 0.750
Ag 0.500 0.000 0.000
Ag 0.500 0.000 0.500
Ag 0.500 0.500 0.000
Ag 0.500 0.500 0.500
Ag 0.625 0.375 0.250
Ag 0.625 0.750 0.375
Ag 0.750 0.375 0.625
Ag 0.750 0.875 0.125
Ag 0.875 0.125 0.750
Ag 0.875 0.250 0.125
Pt 0.071 0.225 0.151
Pt 0.071 0.346 0.919
Pt 0.073 0.725 0.654
Pt 0.073 0.849 0.419
Pt 0.081 0.651 0.427
Pt 0.081 0.929 0.654
Pt 0.151 0.071 0.225
Pt 0.151 0.581 0.927
Pt 0.154 0.225 0.573
Pt 0.154 0.429 0.581
Pt 0.225 0.151 0.071
Pt 0.225 0.573 0.154
Pt 0.275 0.346 0.927
Pt 0.275 0.429 0.349
Pt 0.346 0.919 0.071
Pt 0.346 0.927 0.275
Pt 0.349 0.275 0.429
Pt 0.349 0.573 0.919
Pt 0.419 0.073 0.849
Pt 0.419 0.846 0.571
Pt 0.427 0.081 0.651
Pt 0.427 0.846 0.775
Pt 0.429 0.349 0.275
Pt 0.429 0.581 0.154
Pt 0.571 0.419 0.846
Pt 0.571 0.651 0.725
Pt 0.573 0.154 0.225
Pt 0.573 0.919 0.349
Pt 0.581 0.154 0.429
Pt 0.581 0.927 0.151
Pt 0.651 0.427 0.081
Pt 0.651 0.725 0.571
Pt 0.654 0.073 0.725
Pt 0.654 0.081 0.929
Pt 0.725 0.571 0.651
Pt 0.725 0.654 0.073
Pt 0.775 0.427 0.846
Pt 0.775 0.849 0.929
Pt 0.846 0.571 0.419
Pt 0.846 0.775 0.427
Pt 0.849 0.419 0.073
Pt 0.849 0.929 0.775
Pt 0.919 0.071 0.346
Pt 0.919 0.349 0.573
Pt 0.927 0.151 0.581
Pt 0.927 0.275 0.346
Pt 0.929 0.654 0.081
Pt 0.929 0.775 0.849

=====

The following is a DFT calculation (PBE) of a relaxed BaTaRh2 crystal.

Properties
The calculation puts the energy relative to the lowest polymorph listed for this composition at 5.53 kcal/mol of atoms. For the energy, the calculation gives -7.1156 eV/atom. The value obtained for the formation enthalpy at 0 K is 0.00 eV/atom.

a = 3.351 Å, b = 3.707 Å, c = 15.115 Å
α = 90.00°, β = 90.00°, γ = 90.00°
Atoms (fractional coordinates):
Ba 0.000 0.000 0.000
Ba 0.500 0.500 0.500
Ta 0.000 0.500 0.752
Ta 0.500 0.000 0.252
Rh 0.000 0.000 0.642
Rh 0.000 0.500 0.310
Rh 0.500 0.000 0.810
Rh 0.500 0.500 0.142

=====

The following is a DFT calculation (PBE) of a relaxed Gd3Hf5H12 crystal.

Properties
For the energy, the calculation gives -7.0184 eV/atom.

a = 10.652 Å, b = 10.652 Å, c = 10.652 Å
α = 109.47°, β = 109.47°, γ = 109.47°
Atoms (fractional coordinates):
Gd 0.125 0.250 0.375
Gd 0.125 0.375 0.750
Gd 0.250 0.375 0.125
Gd 0.250 0.875 0.625
Gd 0.375 0.125 0.250
Gd 0.375 0.750 0.125
Gd 0.625 0.250 0.875
Gd 0.625 0.875 0.750
Gd 0.750 0.125 0.375
Gd 0.750 0.625 0.875
Gd 0.875 0.625 0.250
Gd 0.875 0.750 0.625
Hf 0.000 0.000 0.000
Hf 0.000 0.000 0.500
Hf 0.000 0.500 0.000
Hf 0.000 0.500 0.500
Hf 0.125 0.750 0.875
Hf 0.125 0.875 0.250
Hf 0.250 0.125 0.875
Hf 0.250 0.625 0.375
Hf 0.375 0.250 0.625
Hf 0.375 0.625 0.750
Hf 0.500 0.000 0.000
Hf 0.500 0.000 0.500
Hf 0.500 0.500 0.000
Hf 0.500 0.500 0.500
Hf 0.625 0.375 0.250
Hf 0.625 0.750 0.375
Hf 0.750 0.375 0.625
Hf 0.750 0.875 0.125
Hf 0.875 0.125 0.750
Hf 0.875 0.250 0.125
H 0.054 0.216 0.140
H 0.054 0.338 0.914
H 0.076 0.716 0.662
H 0.076 0.860 0.414
H 0.086 0.640 0.424
H 0.086 0.946 0.662
H 0.140 0.054 0.216
H 0.140 0.586 0.924
H 0.162 0.216 0.576
H 0.162 0.446 0.586
H 0.216 0.140 0.054
H 0.216 0.576 0.162
H 0.284 0.338 0.924
H 0.284 0.446 0.360
H 0.338 0.914 0.054
H 0.338 0.924 0.284
H 0.360 0.284 0.446
H 0.360 0.576 0.914
H 0.414 0.076 0.860
H 0.414 0.838 0.554
H 0.424 0.086 0.640
H 0.424 0.838 0.784
H 0.446 0.360 0.284
H 0.446 0.586 0.162
H 0.554 0.414 0.838
H 0.554 0.640 0.716
H 0.576 0.162 0.216
H 0.576 0.914 0.360
H 0.586 0.162 0.446
H 0.586 0.924 0.140
H 0.640 0.424 0.086
H 0.640 0.716 0.554
H 0.662 0.076 0.716
H 0.662 0.086 0.946
H 0.716 0.554 0.640
H 0.716 0.662 0.076
H 0.784 0.424 0.838
H 0.784 0.860 0.946
H 0.838 0.554 0.414
H 0.838 0.784 0.424
H 0.860 0.414 0.076
H 0.860 0.946 0.784
H 0.914 0.054 0.338
H 0.914 0.360 0.576
H 0.924 0.140 0.586
H 0.924 0.284 0.338
H 0.946 0.662 0.086
H 0.946 0.784 0.860

=====

The following is a DFT calculation (PBE) of a relaxed ScTc8 crystal.

Properties
For the energy, the calculation gives -9.9027 eV/atom. The value obtained for the formation enthalpy at 0 K is 0.01 eV/atom.

a = 6.225 Å, b = 6.225 Å, c = 6.225 Å
α = 95.90°, β = 95.90°, γ = 142.60°
Atoms (fractional coordinates):
Sc 0.000 0.000 0.000
Tc 0.000 0.346 0.346
Tc 0.000 0.654 0.654
Tc 0.318 0.318 0.636
Tc 0.318 0.682 0.000
Tc 0.346 0.000 0.346
Tc 0.654 0.000 0.654
Tc 0.682 0.318 0.000
Tc 0.682 0.682 0.364